DFT (PBE+U) results for LiVOF3 after structural relaxation.

Summary:
Size of the total moment: 1.0 μB/f.u.
Raw total energy: -5.968 eV/atom
Symmetry: No. 4
E above lowest polymorph: 0.03 kJ/mol of atoms

Lattice parameters (Å, degrees): 5.3083 5.3870 5.8334 63.87 90.00 90.00
Site moments in Bohr magnetons follow the coordinates.
Positions (direct):
Li  0.2602  0.2454  0.5321  0.00
Li  0.7602  0.7546  0.4679  0.00
V  0.0455  0.7293  0.9949  1.08
V  0.5455  0.2707  0.0051  1.08
O  0.7968  0.4550  0.0225  -0.12
O  0.2968  0.5450  0.9775  -0.12
F  0.4682  0.0644  0.3617  0.01
F  0.7431  0.9331  0.0629  0.00
F  0.0549  0.5819  0.3656  0.01
F  0.5549  0.4181  0.6344  0.01
F  0.2431  0.0669  0.9371  0.00
F  0.9682  0.9356  0.6383  0.01